No. 1
{"formula": "HfZrRh2Pb", "functional": "GGA-PBE", "state": "optimized geometry", "crystal_system": "tetragonal", "ef_ev_per_atom": 0.654, "lattice_angstrom": [[4.716, 0.000, 0.000], [0.000, 5.480, 0.000], [0.000, 0.000, 4.716]], "species": ["Pb", "Zr", "Rh", "Rh", "Hf"], "fractional_positions": [[0.000, 0.500, 0.000], [0.500, 0.500, 0.500], [0.500, 0.000, 0.000], [0.000, 0.000, 0.500], [0.000, 0.000, 0.000]]}

No. 2
{"formula": "PuScReIr", "functional": "GGA-PBE", "state": "optimized geometry", "crystal_system": "cubic", "ef_ev_per_atom": -0.277, "lattice_angstrom": [[4.688, 0.000, 0.000], [2.344, 4.060, 0.000], [2.344, 1.353, 3.828]], "species": ["Ir", "Pu", "Sc", "Re"], "fractional_positions": [[0.750, 0.750, 0.750], [0.500, 0.500, 0.500], [0.000, 0.000, 0.000], [0.250, 0.250, 0.250]]}

No. 3
{"formula": "Be2NiHg", "functional": "GGA-PBE", "state": "optimized geometry", "crystal_system": "cubic", "ef_ev_per_atom": 0.289, "lattice_angstrom": [[-3.945, -0.889, -0.830], [-1.822, -3.216, 1.838], [-2.905, 0.633, 2.864]], "species": ["Be", "Ni", "Be", "Hg"], "fractional_positions": [[0.000, 0.000, 0.000], [0.750, 0.750, 0.750], [0.250, 0.250, 0.250], [0.500, 0.500, 0.500]]}

No. 4
{"formula": "Pr4CoCBr2", "functional": "GGA-PBE", "state": "optimized geometry", "crystal_system": "monoclinic", "formation_energy_uncorrected_mev_per_atom": -720, "lattice_angstrom": [[-1.890, 3.333, 0.379], [-4.585, -3.114, 4.520], [5.954, 2.875, 4.409]], "species": ["Pr", "Br", "Pr", "Pr", "Pr", "Co", "C", "Br"], "fractional_positions": [[0.000, 0.709, 0.186], [0.000, 0.500, 0.500], [0.500, 0.231, 0.187], [0.000, 0.291, 0.814], [0.500, 0.769, 0.813], [0.000, 0.000, 0.000], [0.500, 0.500, 0.000], [0.500, 0.000, 0.500]]}

No. 5
{"formula": "NaTa2N3", "functional": "GGA-PBE", "state": "optimized geometry", "crystal_system": "monoclinic", "formation_energy_uncorrected_mev_per_atom": -858, "lattice_angstrom": [[3.072, 0.000, 0.000], [0.000, 5.392, -1.202], [0.000, -0.081, 8.173]], "species": ["Na", "Na", "Ta", "N", "N", "Ta", "Ta", "N", "N", "Ta", "N", "N"], "fractional_positions": [[0.250, 0.524, 0.849], [0.750, 0.476, 0.151], [0.750, 0.269, 0.509], [0.250, 0.113, 0.651], [0.250, 0.353, 0.343], [0.250, 0.731, 0.491], [0.250, 0.997, 0.176], [0.750, 0.811, 0.019], [0.750, 0.887, 0.349], [0.750, 0.003, 0.824], [0.250, 0.189, 0.981], [0.750, 0.647, 0.657]]}

No. 6
{"formula": "Tl2RuCl", "functional": "GGA-PBE", "state": "optimized geometry", "relative_energy_ev_per_atom": 0.000, "crystal_system": "monoclinic", "formation_energy_uncorrected_mev_per_atom": 163, "lattice_angstrom": [[5.728, -0.003, -0.007], [4.716, 3.251, -0.007], [-0.680, -0.211, 4.728]], "species": ["Cl", "Tl", "Ru", "Tl"], "fractional_positions": [[0.462, 0.462, 0.549], [0.020, 0.020, 0.083], [0.278, 0.278, 0.190], [0.739, 0.739, 0.678]]}

No. 7
{"formula": "TaZnTe2", "functional": "GGA-PBE", "state": "optimized geometry", "crystal_system": "trigonal", "formation_energy_uncorrected_mev_per_atom": 145, "lattice_angstrom": [[10.499, -0.014, -0.008], [9.935, 3.392, -0.008], [9.935, 1.643, 2.968]], "species": ["Ta", "Te", "Te", "Zn"], "fractional_positions": [[0.758, 0.758, 0.758], [0.221, 0.221, 0.221], [0.030, 0.030, 0.030], [0.491, 0.491, 0.491]]}

No. 8
{"formula": "DyHoTh2", "functional": "GGA-PBE", "state": "optimized geometry", "relative_energy_ev_per_atom": 0.015, "crystal_system": "tetragonal", "ef_ev_per_atom": 0.045, "lattice_angstrom": [[5.061, 0.000, 0.000], [0.000, 5.016, 0.000], [0.000, 0.000, 5.016]], "species": ["Ho", "Th", "Dy", "Th"], "fractional_positions": [[0.500, 0.500, 0.500], [0.000, 0.500, 0.000], [0.500, 0.000, 0.000], [0.000, 0.000, 0.500]]}

No. 9
{"formula": "LiLa2AlN", "functional": "GGA-PBE", "state": "optimized geometry", "crystal_system": "tetragonal", "formation_energy_uncorrected_mev_per_atom": -620, "lattice_angstrom": [[-4.295, -2.371, 1.450], [0.007, -2.677, -4.359], [2.315, -3.047, 1.875]], "species": ["La", "Li", "N", "La", "Al"], "fractional_positions": [[0.000, 0.500, 0.000], [0.000, 0.000, 0.500], [0.000, 0.000, 0.000], [0.500, 0.000, 0.000], [0.500, 0.500, 0.500]]}

No. 10
{"formula": "TbPrPb", "functional": "GGA-PBE", "state": "optimized geometry", "relative_energy_ev_per_atom": 0.031, "crystal_system": "orthorhombic", "ef_ev_per_atom": -0.416, "lattice_angstrom": [[-2.525, 1.406, -3.442], [3.572, -1.302, -3.153], [-2.093, -8.337, 1.072]], "species": ["Pr", "Tb", "Pb", "Tb", "Pr", "Pb"], "fractional_positions": [[0.074, 0.750, 0.151], [0.253, 0.250, 0.506], [0.394, 0.750, 0.787], [0.747, 0.750, 0.494], [0.926, 0.250, 0.849], [0.606, 0.250, 0.213]]}

No. 11
{"formula": "CrCdAs2Rh", "functional": "GGA-PBE", "state": "optimized geometry", "crystal_system": "tetragonal", "ef_ev_per_atom": 1.014, "lattice_angstrom": [[4.715, 0.000, 0.000], [0.000, 5.061, 0.000], [0.000, 0.000, 4.715]], "species": ["Rh", "As", "As", "Cr", "Cd"], "fractional_positions": [[0.000, 0.000, 0.000], [0.500, 0.000, 0.000], [0.000, 0.000, 0.500], [0.500, 0.500, 0.500], [0.000, 0.500, 0.000]]}

No. 12
{"formula": "Sm2HoP", "functional": "GGA-PBE", "state": "optimized geometry", "crystal_system": "trigonal", "ef_ev_per_atom": -0.634, "lattice_angstrom": [[-2.652, 1.841, -2.111], [-3.610, -1.350, -0.167], [-4.413, 5.451, 6.777]], "species": ["Sm", "P", "Sm", "Ho"], "fractional_positions": [[0.726, 0.726, 0.821], [0.000, 0.000, 0.000], [0.274, 0.274, 0.179], [0.500, 0.500, 0.500]]}

Number 1: final energy -6.73 eV/atom, total magnetic moment 0.000 μB/f.u.. Number 2: final energy -10.77 eV/atom, total magnetic moment 3.817 μB/f.u.. Number 3: final energy -3.09 eV/atom, total magnetic moment 0.000 μB/f.u.. Number 4: final energy -5.57 eV/atom, total magnetic moment 0.000 μB/f.u.. Number 5: final energy -9.19 eV/atom, total magnetic moment 0.000 μB/f.u.. Number 6: final energy -3.80 eV/atom, total magnetic moment 0.000 μB/f.u.. Number 7: final energy -4.71 eV/atom, total magnetic moment 0.000 μB/f.u.. Number 8: final energy -5.96 eV/atom, total magnetic moment 0.000 μB/f.u.. Number 9: final energy -5.39 eV/atom, total magnetic moment 0.000 μB/f.u.. Number 10: final energy -4.79 eV/atom, total magnetic moment 0.000 μB/f.u.. Number 11: final energy -4.42 eV/atom, total magnetic moment 0.323 μB/f.u.. Number 12: final energy -5.49 eV/atom, total magnetic moment 0.436 μB/f.u..